No. 1
Below is a geometry-optimized Zr2MoRu structure, with properties calculated at the PBE level.

Summary:
M_tot ... 0.00 μB/cell
Energy of formation ... -0.052 eV per atom
SG ... I-4m2

a b c (Å): 5.6291 5.6291 5.6291
angles (deg): 139.63 139.63 58.41
Atoms (fractional coordinates):
Ru 0.7500 0.2500 0.5000
Mo 0.5000 0.5000 0.0000
Zr 0.0000 0.0000 0.0000
Zr 0.2500 0.7500 0.5000

No. 2
Below is a geometry-optimized Zr2MoRu structure, with properties calculated at the PBE level.

Summary:
M_tot ... 0.00 μB/cell
Energy of formation ... -0.063 eV per atom
SG ... P2/m

a b c (Å): 4.3809 3.0100 5.5551
angles (deg): 82.24 90.00 90.00
Atoms (fractional coordinates):
Zr 0.0000 0.0022 0.9969
Zr 0.0000 0.4978 0.5031
Mo 0.5000 0.2500 0.2500
Ru 0.5000 0.7500 0.7500

No. 3
Below is a geometry-optimized Zr2MoRu structure, with properties calculated at the PBE level.

Summary:
M_tot ... 0.00 μB/cell
Energy of formation ... -0.074 eV per atom
SG ... Pmmm

a b c (Å): 3.3051 4.9891 4.3979
angles (deg): 90.00 90.00 90.00
Atoms (fractional coordinates):
Ru 0.0000 0.5000 0.5000
Mo 0.5000 0.0000 0.5000
Zr 0.5000 0.5000 0.0000
Zr 0.0000 0.0000 0.0000

No. 4
Below is a geometry-optimized ZrMoRu2 structure, with properties calculated at the PBE level.

Summary:
ΔE to the lowest computed polymorph ... 0.133 eV/atom
M_tot ... 0.00 μB/cell
Energy of formation ... 0.015 eV per atom
SG ... C2/m

a b c (Å): 5.0735 5.0735 2.8650
angles (deg): 79.91 79.91 112.00
Atoms (fractional coordinates):
Ru 0.5000 0.5000 0.0000
Ru 0.0000 0.0000 0.0000
Mo 0.0000 0.5000 0.5000
Zr 0.5000 0.0000 0.5000

No. 5
Below is a geometry-optimized ZrMo3Ru structure, with properties calculated at the PBE level.

Summary:
ΔE to the lowest computed polymorph ... 1.139 eV/atom
M_tot ... 0.86 μB/cell
Energy of formation ... 2.339 eV per atom
SG ... Pm-3m

a b c (Å): 4.6957 4.6957 4.6957
angles (deg): 90.00 90.00 90.00
Each line ends with the local moment (μB).
Atoms (fractional coordinates):
Ru 0.5000 0.5000 0.5000  1.21
Zr 0.0000 0.0000 0.0000  0.00
Mo 0.5000 0.0000 0.0000  -0.11
Mo 0.0000 0.0000 0.5000  -0.12
Mo 0.0000 0.5000 0.0000  -0.14

No. 6
Below is a geometry-optimized ZrMoRu2 structure, with properties calculated at the PBE level.

Summary:
ΔE to the lowest computed polymorph ... 0.373 eV/atom
M_tot ... 0.00 μB/cell
Energy of formation ... 0.255 eV per atom
SG ... R3m

a b c (Å): 9.6279 9.6279 9.6279
angles (deg): 16.84 16.84 16.84
Atoms (fractional coordinates):
Ru 0.7426 0.7426 0.7426
Ru 0.0017 0.0017 0.0017
Mo 0.2582 0.2582 0.2582
Zr 0.4975 0.4975 0.4975

No. 7
Below is a geometry-optimized ZrMoRu2 structure, with properties calculated at the PBE level.

Summary:
ΔE to the lowest computed polymorph ... 0.101 eV/atom
M_tot ... 0.00 μB/cell
Energy of formation ... -0.017 eV per atom
SG ... Cm

a b c (Å): 5.0388 5.0388 4.7209
angles (deg): 79.52 79.52 33.87
Atoms (fractional coordinates):
Zr 0.4918 0.4918 0.5306
Ru 0.7325 0.7325 0.7420
Ru 0.0049 0.0049 0.0274
Mo 0.2709 0.2709 0.2000

No. 8
Below is a geometry-optimized ZrMo4Ru structure, with properties calculated at the PBE level.

Summary:
M_tot ... 0.00 μB/cell
Energy of formation ... 0.194 eV per atom
SG ... F-43m

a b c (Å): 5.2614 5.2614 5.2614
angles (deg): 60.00 60.00 60.00
Atoms (fractional coordinates):
Zr 0.0000 0.0000 0.0000
Mo 0.3739 0.3739 0.8782
Mo 0.3739 0.3739 0.3739
Mo 0.3739 0.8782 0.3739
Mo 0.8782 0.3739 0.3739
Ru 0.7500 0.7500 0.7500

No. 9
Below is a geometry-optimized Zr2MoRu structure, with properties calculated at the PBE level.

Summary:
M_tot ... 0.00 μB/cell
Energy of formation ... -0.077 eV per atom
SG ... Pm

a b c (Å): 4.6127 3.0234 5.3510
angles (deg): 77.39 90.00 90.00
Atoms (fractional coordinates):
Mo 0.0000 0.5094 0.5026
Zr 0.5000 0.2654 0.2619
Zr 0.0000 0.9846 0.9870
Ru 0.5000 0.7406 0.7485

No. 10
Below is a geometry-optimized ZrMoRu2 structure, with properties calculated at the PBE level.

Summary:
ΔE to the lowest computed polymorph ... 0.123 eV/atom
M_tot ... 0.00 μB/cell
Energy of formation ... 0.005 eV per atom
SG ... Pmmm

a b c (Å): 3.2815 4.6407 4.2691
angles (deg): 90.00 90.00 90.00
Atoms (fractional coordinates):
Ru 0.5000 0.5000 0.0000
Ru 0.0000 0.0000 0.0000
Zr 0.5000 0.0000 0.5000
Mo 0.0000 0.5000 0.5000

No. 11
Below is a geometry-optimized ZrMoRu2 structure, with properties calculated at the PBE level.

Summary:
ΔE to the lowest computed polymorph ... 0.113 eV/atom
M_tot ... 0.00 μB/cell
Energy of formation ... -0.005 eV per atom
SG ... Immm

a b c (Å): 5.1684 5.1684 5.1684
angles (deg): 143.25 126.49 66.68
Atoms (fractional coordinates):
Zr 0.7500 0.2500 0.5000
Ru 0.0163 0.0163 0.0000
Ru 0.4837 0.4837 0.0000
Mo 0.2500 0.7500 0.5000

No. 12
Below is a geometry-optimized Zr2MoRu structure, with properties calculated at the PBE level.

Summary:
M_tot ... 0.00 μB/cell
Energy of formation ... 0.333 eV per atom
SG ... I-42d

a b c (Å): 7.3404 7.3404 5.9287
angles (deg): 51.75 51.75 90.00
Atoms (fractional coordinates):
Ru 0.7500 0.2500 0.5000
Ru 0.0000 0.0000 0.0000
Zr 0.6419 0.1250 0.2500
Zr 0.3750 0.3581 0.7500
Zr 0.1081 0.6250 0.2500
Zr 0.8750 0.8919 0.7500
Mo 0.5000 0.5000 0.0000
Mo 0.2500 0.7500 0.5000

Copy entry 7 word for word.
Below is a geometry-optimized ZrMoRu2 structure, with properties calculated at the PBE level.

Summary:
ΔE to the lowest computed polymorph ... 0.101 eV/atom
M_tot ... 0.00 μB/cell
Energy of formation ... -0.017 eV per atom
SG ... Cm

a b c (Å): 5.0388 5.0388 4.7209
angles (deg): 79.52 79.52 33.87
Atoms (fractional coordinates):
Zr 0.4918 0.4918 0.5306
Ru 0.7325 0.7325 0.7420
Ru 0.0049 0.0049 0.0274
Mo 0.2709 0.2709 0.2000

- Which of these has the highest M_tot?
  ZrMo3Ru

- Number 9 is which compound?
  Zr2MoRu